Entry 1:
ZnCd2Au, relaxed, DFT GGA-PBEsol; energy = -16.31 eV/cell; magnetic moment = 0.000 μB per atom; SG = Cm; formation energy from the elements = -63 meV per atom
1.0
9.400 0.000 0.000
0.000 3.337 0.000
-1.240 0.000 4.596
Zn Cd Au
2 4 2
Cartesian
0.000 0.000 0.000
4.700 1.668 0.000
1.404 0.000 3.425
3.949 0.000 2.169
6.104 1.668 3.425
8.649 1.668 2.169
1.875 1.668 1.019
6.575 0.000 1.019


Entry 2:
ZnCdAu, relaxed, DFT GGA-PBEsol; energy = -13.99 eV/cell; magnetic moment = 0.000 μB per atom; SG = I4mm; formation energy from the elements = -97 meV per atom
1.0
2.988 0.000 0.000
0.000 2.988 0.000
0.000 0.000 11.379
Zn Cd Au
2 2 2
Cartesian
0.000 0.000 0.000
1.494 1.494 5.690
0.000 0.000 3.736
1.494 1.494 9.426
0.000 0.000 7.355
1.494 1.494 1.665


Entry 3:
ZnCd2Au, relaxed, DFT GGA-PBEsol; energy = -16.34 eV/cell; magnetic moment = 0.000 μB per atom; SG = I-4m2; formation energy from the elements = -68 meV per atom
1.0
4.130 0.000 0.000
0.000 4.130 0.000
0.000 0.000 8.262
Zn Cd Au
2 4 2
Cartesian
0.000 0.000 0.000
2.065 2.065 4.131
0.000 0.000 4.131
0.000 2.065 6.196
2.065 0.000 2.065
2.065 2.065 0.000
0.000 2.065 2.065
2.065 0.000 6.196


Entry 4:
ZnCdAu, relaxed, DFT GGA-PBEsol; energy = -6.84 eV/cell; magnetic moment = 0.000 μB per atom; SG = P3m1; formation energy from the elements = -47 meV per atom
1.0
2.963 0.000 0.000
-1.481 2.566 0.000
0.000 0.000 6.765
Zn Cd Au
1 1 1
Cartesian
0.000 0.000 0.000
1.481 0.855 2.290
0.000 1.711 4.694


Entry 5:
ZnCdAu2, relaxed, DFT GGA-PBEsol; energy = -11.27 eV/cell; magnetic moment = 0.000 μB per atom; SG = Pmm2; formation energy from the elements = -161 meV per atom
1.0
2.923 0.000 0.000
0.000 4.586 0.000
0.000 0.000 5.035
Zn Cd Au
1 1 2
Cartesian
0.000 0.000 0.000
0.000 2.293 1.874
1.461 0.000 2.637
1.461 2.293 4.456


Entry 6:
ZnCdAu2, relaxed, DFT GGA-PBEsol; energy = -22.42 eV/cell; magnetic moment = 0.000 μB per atom; SG = Cm; formation energy from the elements = -146 meV per atom
1.0
9.601 0.000 0.000
0.000 3.336 0.000
-1.487 0.000 4.223
Zn Cd Au
2 2 4
Cartesian
0.000 0.000 0.000
4.800 1.668 0.000
1.985 1.668 1.289
6.785 0.000 1.289
-0.673 1.668 2.190
1.361 0.000 3.467
4.128 0.000 2.190
6.161 1.668 3.467


Entry 7:
ZnCdAu, relaxed, DFT GGA-PBEsol; energy = -7.07 eV/cell; magnetic moment = 0.000 μB per atom; SG = P-6m2; formation energy from the elements = -123 meV per atom
1.0
4.510 0.000 0.000
-2.255 3.906 0.000
0.000 0.000 2.903
Zn Cd Au
1 1 1
Cartesian
0.000 0.000 0.000
2.255 1.302 1.452
0.000 2.604 0.000


Entry 8:
ZrCdAu2, relaxed, DFT GGA-PBEsol; energy = -19.85 eV/cell; magnetic moment = 0.000 μB per atom; SG = Pmmm; formation energy from the elements = -430 meV per atom
1.0
3.028 0.000 0.000
0.000 3.301 0.000
0.000 0.000 7.466
Zr Cd Au
1 1 2
Cartesian
0.000 0.000 0.000
0.000 0.000 3.733
1.514 1.650 1.857
1.514 1.650 5.610


Entry 9:
ZrCdAu2, relaxed, DFT GGA-PBEsol; energy = -38.81 eV/cell; magnetic moment = 0.000 μB per atom; SG = Cmmm; formation energy from the elements = -318 meV per atom
1.0
6.861 0.000 0.000
0.000 6.880 0.000
0.000 0.000 3.196
Zr Cd Au
2 2 4
Cartesian
0.000 0.000 0.000
3.430 3.440 0.000
0.000 3.440 0.000
3.430 0.000 0.000
1.715 1.720 1.598
1.715 5.160 1.598
5.145 1.720 1.598
5.145 5.160 1.598


Entry 10:
CeAu, relaxed, DFT GGA-PBEsol; energy = -46.36 eV/cell; magnetic moment = 0.434 μB per atom; SG = Cmcm; formation energy from the elements = -536 meV per atom
1.0
3.778 0.000 0.000
0.000 11.234 0.000
0.000 0.000 4.625
Ce Au
4 4
Cartesian
0.000 1.581 1.156
0.000 9.653 3.469
1.889 4.036 3.469
1.889 7.198 1.156
0.000 4.675 1.156
0.000 6.559 3.469
1.889 0.942 3.469
1.889 10.292 1.156


Entry 11:
CeGeAu, relaxed, DFT GGA-PBEsol; energy = -35.26 eV/cell; magnetic moment = 0.342 μB per atom; SG = P6_3mc; formation energy from the elements = -724 meV per atom
1.0
4.407 0.000 0.000
-2.203 3.816 0.000
0.000 0.000 7.727
Ce Ge Au
2 2 2
Cartesian
0.000 0.000 0.000
0.000 0.000 3.864
0.000 2.544 2.120
2.203 1.272 5.984
0.000 2.544 5.635
2.203 1.272 1.771


Entry 12:
CeGeAu, relaxed, DFT GGA-PBEsol; energy = -68.56 eV/cell; magnetic moment = 0.325 μB per atom; SG = F-43m; formation energy from the elements = -561 meV per atom
1.0
6.582 0.000 0.000
0.000 6.582 0.000
0.000 0.000 6.582
Ce Ge Au
4 4 4
Cartesian
0.000 0.000 0.000
0.000 3.291 3.291
3.291 0.000 3.291
3.291 3.291 0.000
0.000 0.000 3.291
0.000 3.291 0.000
3.291 0.000 0.000
3.291 3.291 3.291
1.645 1.645 1.645
1.645 4.936 4.936
4.936 1.645 4.936
4.936 4.936 1.645


Entry 13:
CeHgAu2, relaxed, DFT GGA-PBEsol; energy = -68.24 eV/cell; magnetic moment = 0.126 μB per atom; SG = Fm-3m; formation energy from the elements = -512 meV per atom
1.0
6.962 0.000 0.000
0.000 6.962 0.000
0.000 0.000 6.962
Ce Hg Au
4 4 8
Cartesian
0.000 0.000 0.000
0.000 3.481 3.481
3.481 0.000 3.481
3.481 3.481 0.000
0.000 0.000 3.481
0.000 3.481 0.000
3.481 0.000 0.000
3.481 3.481 3.481
1.741 1.741 1.741
1.741 1.741 5.222
1.741 5.222 1.741
1.741 5.222 5.222
5.222 1.741 1.741
5.222 1.741 5.222
5.222 5.222 1.741
5.222 5.222 5.222


Entry 14:
CeInAu, relaxed, DFT GGA-PBEsol; energy = -45.92 eV/cell; magnetic moment = 0.281 μB per atom; SG = P-62m; formation energy from the elements = -601 meV per atom
1.0
7.513 0.000 0.000
-3.757 6.507 0.000
0.000 0.000 4.273
Ce In Au
3 3 3
Cartesian
-2.191 3.795 0.000
1.565 2.711 0.000
4.383 0.000 0.000
-0.936 1.622 2.137
1.873 0.000 2.137
2.820 4.885 2.137
0.000 0.000 0.000
0.000 4.338 2.137
3.757 2.169 2.137


Entry 15:
Ce2InAu2, relaxed, DFT GGA-PBEsol; energy = -54.31 eV/cell; magnetic moment = 0.146 μB per atom; SG = P4/mbm; formation energy from the elements = -626 meV per atom
1.0
7.918 0.000 0.000
0.000 7.918 0.000
0.000 0.000 3.798
Ce In Au
4 2 4
Cartesian
1.380 2.579 0.000
2.579 6.538 0.000
5.339 1.380 0.000
6.538 5.339 0.000
0.000 0.000 1.899
3.959 3.959 1.899
1.005 4.964 1.899
2.954 1.005 1.899
4.964 6.913 1.899
6.913 2.954 1.899